# 1
PrNd4Sn15 after structural relaxation. Source: the Alexandria database, functional PBE.

```
data_PrNd4Sn15
_space_group_name_H-M_alt 'P 4/m m m'
_space_group_IT_number 123
_space_group_name_Hall '-P 4 2'
_cell_length_a 4.710
_cell_length_b 4.710
_cell_length_c 24.636
_cell_angle_alpha 90.00
_cell_angle_beta 90.00
_cell_angle_gamma 90.00
loop_
_atom_site_label
_atom_site_type_symbol
_atom_site_fract_x
_atom_site_fract_y
_atom_site_fract_z
Pr1 Pr 0.000 0.000 0.000
Nd1 Nd 0.000 0.000 0.200
Nd2 Nd 0.000 0.000 0.400
Sn1 Sn 0.000 0.500 0.101
Sn2 Sn 0.000 0.500 0.300
Sn3 Sn 0.000 0.500 0.500
Sn4 Sn 0.500 0.500 0.000
Sn5 Sn 0.500 0.500 0.200
Sn6 Sn 0.500 0.500 0.400
```

Properties
Uncorrected energy, eV per atom: -4.691
ΔE_f, kJ per mole of atoms: -48


# 2
In2SnPb2 after structural relaxation. Source: the Alexandria database, functional PBE.

```
data_In2SnPb2
_space_group_name_H-M_alt 'I 4/m m m'
_space_group_IT_number 139
_space_group_name_Hall '-I 4 2'
_cell_length_a 4.453
_cell_length_b 4.453
_cell_length_c 15.943
_cell_angle_alpha 90.00
_cell_angle_beta 90.00
_cell_angle_gamma 90.00
loop_
_atom_site_label
_atom_site_type_symbol
_atom_site_fract_x
_atom_site_fract_y
_atom_site_fract_z
In1 In 0.000 0.000 0.093
Sn1 Sn 0.000 0.000 0.500
Pb1 Pb 0.000 0.500 0.250
```

Properties
Uncorrected energy, eV per atom: -3.178
ΔE_f, kJ per mole of atoms: 19


# 3
LiOs2Cl after structural relaxation. Source: the Alexandria database, functional PBE.

```
data_LiOs2Cl
_space_group_name_H-M_alt 'C m m m'
_space_group_IT_number 65
_space_group_name_Hall '-C 2 2'
_cell_length_a 4.733
_cell_length_b 13.088
_cell_length_c 2.597
_cell_angle_alpha 90.00
_cell_angle_beta 90.00
_cell_angle_gamma 90.00
loop_
_atom_site_label
_atom_site_type_symbol
_atom_site_fract_x
_atom_site_fract_y
_atom_site_fract_z
Li1 Li 0.000 0.000 0.000
Os1 Os 0.250 0.250 0.500
Cl1 Cl 0.000 0.500 0.000
```

Properties
Uncorrected energy, eV per atom: -5.609


# 4
Pr5Nd6Mg after structural relaxation. Source: the Alexandria database, functional PBE.

```
data_Pr5Nd6Mg
_space_group_name_H-M_alt 'C 1 2/m 1'
_space_group_IT_number 12
_cell_length_a 12.151
_cell_length_b 10.969
_cell_length_c 6.352
_cell_angle_alpha 90.00
_cell_angle_beta 99.99
_cell_angle_gamma 90.00
loop_
_space_group_symop_operation_xyz
'x,y,z'
'-x,-y,-z'
'-x,y,-z'
'x,-y,z'
'x+1/2,y+1/2,z'
'-x+1/2,-y+1/2,-z'
'-x+1/2,y+1/2,-z'
'x+1/2,-y+1/2,z'
loop_
_atom_site_label
_atom_site_type_symbol
_atom_site_fract_x
_atom_site_fract_y
_atom_site_fract_z
Pr1 Pr 0.000 0.000 0.000
Pr2 Pr 0.000 0.169 0.500
Pr3 Pr 0.000 0.336 0.000
Nd1 Nd 0.248 0.335 0.755
Nd2 Nd 0.250 0.000 0.745
Mg1 Mg 0.000 0.500 0.500
```

Properties
Uncorrected energy, eV per atom: -4.495
ΔE_f, kJ per mole of atoms: 1


# 5
SrInTc2 after structural relaxation. Source: the Alexandria database, functional PBE.

```
data_SrInTc2
_space_group_name_H-M_alt 'I -4 2 d'
_space_group_IT_number 122
_space_group_name_Hall 'I -4 2bw'
_cell_length_a 8.018
_cell_length_b 8.018
_cell_length_c 5.663
_cell_angle_alpha 90.00
_cell_angle_beta 90.00
_cell_angle_gamma 90.00
loop_
_atom_site_label
_atom_site_type_symbol
_atom_site_fract_x
_atom_site_fract_y
_atom_site_fract_z
Sr1 Sr 0.000 0.000 0.000
In1 In 0.000 0.000 0.500
Tc1 Tc 0.209 0.250 0.625
```

Properties
Uncorrected energy, eV per atom: -5.138
ΔE_f, kJ per mole of atoms: 111


# 6
Zr2ScCo after structural relaxation. Source: the Alexandria database, functional PBE.

```
data_Zr2ScCo
_space_group_name_H-M_alt 'I -4 m 2'
_space_group_IT_number 119
_space_group_name_Hall 'I -4 -2'
_cell_length_a 3.975
_cell_length_b 3.975
_cell_length_c 9.754
_cell_angle_alpha 90.00
_cell_angle_beta 90.00
_cell_angle_gamma 90.00
loop_
_atom_site_label
_atom_site_type_symbol
_atom_site_fract_x
_atom_site_fract_y
_atom_site_fract_z
Zr1 Zr 0.000 0.000 0.000
Zr2 Zr 0.000 0.500 0.250
Sc1 Sc 0.000 0.000 0.500
Co1 Co 0.000 0.500 0.750
```

Properties
Uncorrected energy, eV per atom: -7.496
ΔE_f, kJ per mole of atoms: 13


# 7
NaTlPt after structural relaxation. Source: the Alexandria database, functional PBE.

```
data_NaTlPt
_space_group_name_H-M_alt 'F -4 3 m'
_space_group_IT_number 216
_space_group_name_Hall 'F -4 2 3'
_cell_length_a 6.641
_cell_length_b 6.641
_cell_length_c 6.641
_cell_angle_alpha 90.00
_cell_angle_beta 90.00
_cell_angle_gamma 90.00
loop_
_atom_site_label
_atom_site_type_symbol
_atom_site_fract_x
_atom_site_fract_y
_atom_site_fract_z
Na1 Na 0.000 0.000 0.000
Tl1 Tl 0.000 0.000 0.500
Pt1 Pt 0.250 0.250 0.250
```

Properties
Uncorrected energy, eV per atom: -3.374
ΔE_f, kJ per mole of atoms: -13


# 8
MgSbS2 after structural relaxation. Source: the Alexandria database, functional PBE.

```
data_MgSbS2
_space_group_name_H-M_alt 'I -4 2 d'
_space_group_IT_number 122
_space_group_name_Hall 'I -4 2bw'
_cell_length_a 5.610
_cell_length_b 5.610
_cell_length_c 13.748
_cell_angle_alpha 90.00
_cell_angle_beta 90.00
_cell_angle_gamma 90.00
loop_
_atom_site_label
_atom_site_type_symbol
_atom_site_fract_x
_atom_site_fract_y
_atom_site_fract_z
Mg1 Mg 0.000 0.000 0.000
Sb1 Sb 0.000 0.000 0.500
S1 S 0.218 0.250 0.125
```

Properties
Uncorrected energy, eV per atom: -3.902


# 9
FeReSbOs2 after structural relaxation. Source: the Alexandria database, functional PBE.

```
data_FeReSbOs2
_space_group_name_H-M_alt 'P 4/m m m'
_space_group_IT_number 123
_space_group_name_Hall '-P 4 2'
_cell_length_a 4.765
_cell_length_b 4.765
_cell_length_c 4.568
_cell_angle_alpha 90.00
_cell_angle_beta 90.00
_cell_angle_gamma 90.00
loop_
_atom_site_label
_atom_site_type_symbol
_atom_site_fract_x
_atom_site_fract_y
_atom_site_fract_z
Fe1 Fe 0.000 0.000 0.000
Re1 Re 0.000 0.000 0.500
Sb1 Sb 0.500 0.500 0.000
Os1 Os 0.000 0.500 0.500
```

Properties
Uncorrected energy, eV per atom: -7.748


# 10
K2LiCd6Au after structural relaxation. Source: the Alexandria database, functional PBE.

```
data_K2LiCd6Au
_space_group_name_H-M_alt 'C 1 2/m 1'
_space_group_IT_number 12
_cell_length_a 10.619
_cell_length_b 10.641
_cell_length_c 7.391
_cell_angle_alpha 90.00
_cell_angle_beta 134.05
_cell_angle_gamma 90.00
loop_
_space_group_symop_operation_xyz
'x,y,z'
'-x,-y,-z'
'-x,y,-z'
'x,-y,z'
'x+1/2,y+1/2,z'
'-x+1/2,-y+1/2,-z'
'-x+1/2,y+1/2,-z'
'x+1/2,-y+1/2,z'
loop_
_atom_site_label
_atom_site_type_symbol
_atom_site_fract_x
_atom_site_fract_y
_atom_site_fract_z
K1 K 0.000 0.198 0.000
Li1 Li 0.000 0.500 0.500
Cd1 Cd 0.000 0.258 0.500
Cd2 Cd 0.197 0.500 0.989
Cd3 Cd 0.198 0.500 0.407
Au1 Au 0.000 0.000 0.500
```

Properties
Uncorrected energy, eV per atom: -1.358
ΔE_f, kJ per mole of atoms: -7


# 11
BeAl2As after structural relaxation. Source: the Alexandria database, functional PBE.

```
data_BeAl2As
_space_group_name_H-M_alt 'P 4/m m m'
_space_group_IT_number 123
_space_group_name_Hall '-P 4 2'
_cell_length_a 2.832
_cell_length_b 2.832
_cell_length_c 7.560
_cell_angle_alpha 90.00
_cell_angle_beta 90.00
_cell_angle_gamma 90.00
loop_
_atom_site_label
_atom_site_type_symbol
_atom_site_fract_x
_atom_site_fract_y
_atom_site_fract_z
Be1 Be 0.000 0.000 0.000
Al1 Al 0.500 0.500 0.206
As1 As 0.000 0.000 0.500
```

Properties
Uncorrected energy, eV per atom: -3.744
ΔE_f, kJ per mole of atoms: 21


# 12
As4W after structural relaxation. Source: the Alexandria database, functional PBE.

```
data_As4W
_space_group_name_H-M_alt 'P m -3 m'
_space_group_IT_number 221
_space_group_name_Hall '-P 4 2 3'
_cell_length_a 4.891
_cell_length_b 4.891
_cell_length_c 4.891
_cell_angle_alpha 90.00
_cell_angle_beta 90.00
_cell_angle_gamma 90.00
loop_
_atom_site_label
_atom_site_type_symbol
_atom_site_fract_x
_atom_site_fract_y
_atom_site_fract_z
As1 As 0.000 0.000 0.000
As2 As 0.000 0.500 0.500
W1 W 0.500 0.500 0.500
```

Properties
Uncorrected energy, eV per atom: -5.586
ΔE_f, kJ per mole of atoms: 70